(1)
# CdAgSnS4

A relaxed structure of CdAgSnS4 (PBE, the Alexandria database).

CIF file:
```
data_CdAgSnS4
_chemical_formula_sum 'Cd4 Ag4 Sn4 S16'
_cell_length_a 7.6459
_cell_length_b 7.7120
_cell_length_c 11.0051
_cell_angle_alpha 90.00
_cell_angle_beta 90.00
_cell_angle_gamma 90.00
_space_group_name_H-M_alt 'I m m a'
_space_group_IT_number 74
_space_group_name_Hall '-I 2b 2'
loop_
_atom_site_label
_atom_site_type_symbol
_atom_site_fract_x
_atom_site_fract_y
_atom_site_fract_z
Cd1 Cd 0.0000 0.0000 0.0000
Ag1 Ag 0.0000 0.2500 0.3837
Sn1 Sn 0.2500 0.2500 0.7500
S1 S 0.0000 0.0178 0.7515
S2 S 0.2371 0.2500 0.9832
```

Computed properties:
For the uncorrected formation energy, the calculation gives -0.2518 eV per atom. As for the uncorrected energy: -3.72 eV per atom.

(2)
# CdAg2SnS4

A relaxed structure of CdAg2SnS4 (PBE, the Alexandria database).

CIF file:
```
data_CdAg2SnS4
_chemical_formula_sum 'Cd1 Ag2 Sn1 S4'
_cell_length_a 6.8264
_cell_length_b 4.0789
_cell_length_c 7.3168
_cell_angle_alpha 90.00
_cell_angle_beta 90.46
_cell_angle_gamma 90.00
_space_group_name_H-M_alt 'P 1 m 1'
_space_group_IT_number 6
loop_
_space_group_symop_operation_xyz
'x,y,z'
'x,-y,z'
loop_
_atom_site_label
_atom_site_type_symbol
_atom_site_fract_x
_atom_site_fract_y
_atom_site_fract_z
Cd1 Cd 0.0000 0.0000 0.0000
Ag1 Ag 0.0211 0.5000 0.5053
Ag2 Ag 0.5386 0.5000 0.8616
Sn1 Sn 0.5249 0.0000 0.3273
S1 S 0.3859 0.0000 0.0233
S2 S 0.3998 0.5000 0.5031
S3 S 0.8782 0.0000 0.3347
S4 S 0.9020 0.5000 0.8274
```

Computed properties:
The value obtained for the energy above the lowest structure with this stoichiometry is 54 meV per atom. For the uncorrected formation energy, the calculation gives -0.2912 eV per atom. As for the uncorrected energy: -3.68 eV per atom.

> The highest uncorrected formation energy belongs to which entry?

CdAgSnS4